Record 1
! Li2Ca7Al2 PBE relaxed; values from VASP
! Formation energy from the elements: 125 meV per atom
! Space-group type: Cmmm (65)
&SYSTEM
  ibrav = 0, nat = 11, ntyp = 3
/
ATOMIC_SPECIES
Al 26.98 Al.upf
Ca 40.08 Ca.upf
Li 6.94 Li.upf
CELL_PARAMETERS angstrom
6.932 -0.003 -1.168
0.004 8.307 0.003
-1.598 -0.002 6.846
ATOMIC_POSITIONS angstrom
Al 4.458 4.149 4.744
Ca 1.871 5.861 6.264
Ca -0.796 5.863 3.425
Li 1.059 -0.002 4.349
Ca 0.000 0.000 0.000
Ca 2.670 5.950 2.841
Ca 2.668 2.352 2.840
Ca 3.467 2.441 -0.583
Al 0.880 4.153 0.936
Ca 6.134 2.439 2.255
Li 4.279 8.304 1.332

Record 2
! Y3TiSb PBE relaxed; values from VASP
! Formation energy from raw total energies: 317 meV per atom
! Space-group type: Pm-3m (221)
&SYSTEM
  ibrav = 0, nat = 5, ntyp = 3
/
ATOMIC_SPECIES
Ti 47.87 Ti.upf
Sb 121.76 Sb.upf
Y 88.91 Y.upf
CELL_PARAMETERS angstrom
5.300 0.000 0.000
0.000 5.300 0.000
0.000 0.000 5.300
ATOMIC_POSITIONS angstrom
Ti 0.000 0.000 0.000
Sb 2.650 2.650 2.650
Y 0.000 2.650 0.000
Y 0.000 0.000 2.650
Y 2.650 0.000 0.000

Record 3
! TmNi5Ge3 PBE relaxed; values from VASP
! Formation energy from the elements: -451 meV per atom
! Space-group type: Cmcm (63)
&SYSTEM
  ibrav = 0, nat = 18, ntyp = 3
/
ATOMIC_SPECIES
Tm 168.93 Tm.upf
Ge 72.64 Ge.upf
Ni 58.69 Ni.upf
CELL_PARAMETERS angstrom
3.682 0.000 0.000
-1.841 6.075 0.000
0.000 0.000 11.774
ATOMIC_POSITIONS angstrom
Tm 0.000 1.775 2.944
Ge 1.841 4.630 2.944
Ni 1.841 3.711 0.784
Ni 1.841 0.603 10.070
Ni 0.000 5.471 4.183
Ge 1.841 1.459 5.339
Tm 1.841 4.300 8.831
Ni 0.000 0.000 5.887
Ge 0.000 1.445 8.831
Ni 0.000 0.000 0.000
Ni 1.841 0.603 7.591
Ni 0.000 5.471 1.704
Ge 0.000 4.616 11.226
Ge 1.841 1.459 0.548
Ge 0.000 4.616 6.435
Ni 0.000 2.363 6.671
Ni 1.841 3.711 5.103
Ni 0.000 2.363 10.990

Record 4
! ErBiBr PBE relaxed; values from VASP
! Formation energy from raw total energies: -779 meV per atom
! Space-group type: P-6m2 (187)
&SYSTEM
  ibrav = 0, nat = 3, ntyp = 3
/
ATOMIC_SPECIES
Er 167.26 Er.upf
Br 79.90 Br.upf
Bi 208.98 Bi.upf
CELL_PARAMETERS angstrom
3.672 0.000 0.000
0.000 5.109 0.000
0.000 -2.554 4.424
ATOMIC_POSITIONS angstrom
Er 0.612 0.000 0.000
Br 0.612 0.000 2.950
Bi 2.448 2.554 1.475

Record 5
! SrCd2In6 PBE relaxed; values from VASP
! Formation energy from the elements: -79 meV per atom
! Space-group type: C2/m (12)
&SYSTEM
  ibrav = 0, nat = 9, ntyp = 3
/
ATOMIC_SPECIES
Sr 87.62 Sr.upf
In 114.82 In.upf
Cd 112.41 Cd.upf
CELL_PARAMETERS angstrom
3.652 -0.030 -0.028
1.809 8.513 1.630
1.809 2.002 8.433
ATOMIC_POSITIONS angstrom
Sr 3.652 -0.030 -0.028
In 5.459 9.641 7.046
Cd 1.802 3.828 3.664
In 5.459 7.462 9.323
In 3.635 4.118 6.193
In 1.811 0.844 2.989
In 1.811 3.023 0.712
In 3.635 6.367 3.842
Cd 5.468 6.657 6.371

Record 6
! CoSnHg2As PBE relaxed; values from VASP
! Formation energy from the elements: 512 meV per atom
! Space-group type: P4/mmm (123)
&SYSTEM
  ibrav = 0, nat = 5, ntyp = 4
/
ATOMIC_SPECIES
Hg 200.59 Hg.upf
As 74.92 As.upf
Co 58.93 Co.upf
Sn 118.71 Sn.upf
CELL_PARAMETERS angstrom
-0.186 -0.628 -5.354
3.011 -3.160 0.266
-3.907 -3.675 0.567
ATOMIC_POSITIONS angstrom
Hg -1.953 -1.838 0.283
As 0.000 0.000 0.000
Hg -0.093 -0.314 -2.677
Co 1.506 -1.580 0.133
Sn -0.541 -3.731 -2.261

Record 7
! Pm3CoHgCl PBE relaxed; values from VASP
! Formation energy from raw total energies: -548 meV per atom
! Space-group type: P2_1/m (11)
&SYSTEM
  ibrav = 0, nat = 12, ntyp = 4
/
ATOMIC_SPECIES
Pm 145.00 Pm.upf
Co 58.93 Co.upf
Cl 35.45 Cl.upf
Hg 200.59 Hg.upf
CELL_PARAMETERS angstrom
-4.355 0.521 1.436
-0.910 -7.405 -0.074
3.097 1.466 8.863
ATOMIC_POSITIONS angstrom
Pm 1.087 -2.778 8.014
Co -1.259 -4.657 1.580
Cl 0.662 0.328 5.598
Pm -3.721 -6.085 2.048
Hg -0.460 -1.309 2.789
Pm -3.255 -2.639 2.210
Pm 1.553 0.668 8.177
Hg -1.708 -4.108 7.435
Pm -1.767 -0.998 6.128
Co -0.909 -0.760 8.644
Pm -0.401 -4.419 4.097
Cl -2.830 -5.745 4.626

Record 8
! Ba2Ga5Cu4 PBE relaxed; values from VASP
! Formation energy from the elements: -191 meV per atom
! Space-group type: C2/m (12)
&SYSTEM
  ibrav = 0, nat = 11, ntyp = 3
/
ATOMIC_SPECIES
Ga 69.72 Ga.upf
Ba 137.33 Ba.upf
Cu 63.55 Cu.upf
CELL_PARAMETERS angstrom
-0.189 5.618 0.731
-1.668 1.945 6.600
5.859 2.659 3.059
ATOMIC_POSITIONS angstrom
Ga 2.096 2.302 4.829
Ba 1.530 5.381 2.997
Ba 2.472 4.840 7.393
Cu 3.180 7.486 9.218
Cu -0.212 2.414 3.370
Cu 0.822 2.735 1.172
Cu 4.214 7.807 7.020
Ga 4.361 6.691 4.773
Ga 4.457 3.849 4.403
Ga -0.359 3.529 5.616
Ga -0.455 6.372 5.986

Record 9
! Nd2Sm5Al PBE relaxed; values from VASP
! Formation energy from the elements: -53 meV per atom
! Space-group type: I4/mmm (139)
&SYSTEM
  ibrav = 0, nat = 8, ntyp = 3
/
ATOMIC_SPECIES
Sm 150.36 Sm.upf
Nd 144.24 Nd.upf
Al 26.98 Al.upf
CELL_PARAMETERS angstrom
-1.523 -2.518 -3.977
1.830 -4.168 1.938
-9.181 1.521 5.629
ATOMIC_POSITIONS angstrom
Sm -7.671 -2.653 1.539
Sm -1.203 -2.511 2.050
Sm -5.995 -3.478 4.497
Nd -4.581 -0.924 2.339
Sm -2.879 -1.686 -0.907
Al 0.000 0.000 0.000
Sm 0.154 -3.343 -1.020
Nd -4.293 -4.240 1.250

Record 10
! Nd2Al7Ag PBE relaxed; values from VASP
! Formation energy from the elements: -351 meV per atom
! Space-group type: P-4m2 (115)
&SYSTEM
  ibrav = 0, nat = 10, ntyp = 3
/
ATOMIC_SPECIES
Al 26.98 Al.upf
Ag 107.87 Ag.upf
Nd 144.24 Nd.upf
CELL_PARAMETERS angstrom
-0.299 0.898 4.195
-4.184 -0.989 -0.087
2.462 -10.632 2.453
ATOMIC_POSITIONS angstrom
Al -1.011 -5.361 3.280
Al 1.231 -5.316 1.226
Ag -2.242 -0.045 2.054
Al 0.000 0.000 0.000
Nd 1.689 -7.493 3.930
Al -0.520 -7.286 1.523
Al 0.739 -3.391 2.983
Nd -1.469 -3.184 0.577
Al 0.035 -9.681 2.076
Al 0.185 -0.996 2.431